{"formula": "BaAl4Zn3", "functional": "PBE", "state": "optimized geometry", "lattice": [[4.4286, 0.0000, 0.0000], [0.0000, 4.4286, 0.0000], [0.0000, 0.0000, 8.4623]], "species": ["Ba", "Al", "Al", "Al", "Al", "Zn", "Zn", "Zn"], "fractional_positions": [[0.0000, 0.0000, 0.0000], [0.0000, 0.5000, 0.3307], [0.0000, 0.5000, 0.6693], [0.5000, 0.0000, 0.3307], [0.5000, 0.0000, 0.6693], [0.0000, 0.0000, 0.5000], [0.5000, 0.5000, 0.1556], [0.5000, 0.5000, 0.8444]], "delta_e_f_ev_per_atom": -0.14, "crystal_system": "tetragonal", "dos_at_fermi_per_ev_atom": 0.508}

{"formula": "Ba2AlZn7", "functional": "PBE", "state": "optimized geometry", "lattice": [[4.5152, 0.0000, 0.0000], [0.0000, 4.5152, 0.0000], [0.0000, 0.0000, 11.1451]], "species": ["Ba", "Ba", "Al", "Zn", "Zn", "Zn", "Zn", "Zn", "Zn", "Zn"], "fractional_positions": [[0.0000, 0.5000, 0.2472], [0.5000, 0.0000, 0.7528], [0.0000, 0.0000, 0.5000], [0.0000, 0.0000, 0.0000], [0.0000, 0.5000, 0.6249], [0.0000, 0.5000, 0.8770], [0.5000, 0.0000, 0.1230], [0.5000, 0.0000, 0.3751], [0.5000, 0.5000, 0.0000], [0.5000, 0.5000, 0.5000]], "delta_e_f_ev_per_atom": -0.19, "crystal_system": "tetragonal", "dos_at_fermi_per_ev_atom": 0.591}

{"formula": "BaAlZn2", "functional": "PBE", "state": "optimized geometry", "lattice": [[3.5293, 0.0000, 0.0000], [0.0000, 3.5293, 0.0000], [0.0000, 0.0000, 7.6959]], "species": ["Ba", "Al", "Zn", "Zn"], "fractional_positions": [[0.0000, 0.0000, 0.0000], [0.5000, 0.5000, 0.6678], [0.0000, 0.0000, 0.4945], [0.5000, 0.5000, 0.3178]], "delta_e_f_ev_per_atom": 0.01, "crystal_system": "tetragonal", "dos_at_fermi_per_ev_atom": 0.500}

{"formula": "Ba3Al4Zn4", "functional": "PBE", "state": "optimized geometry", "lattice": [[-4.1445, 4.1445, 4.1445], [4.1445, -4.1445, 4.1445], [4.1445, 4.1445, -4.1445]], "species": ["Ba", "Ba", "Ba", "Al", "Al", "Al", "Al", "Zn", "Zn", "Zn", "Zn"], "fractional_positions": [[0.0000, 0.5000, 0.5000], [0.5000, 0.0000, 0.5000], [0.5000, 0.5000, 0.0000], [0.0000, 0.0000, 0.2652], [0.0000, 0.2652, 0.0000], [0.2652, 0.0000, 0.0000], [0.7348, 0.7348, 0.7348], [0.0000, 0.0000, 0.6320], [0.0000, 0.6320, 0.0000], [0.3680, 0.3680, 0.3680], [0.6320, 0.0000, 0.0000]], "delta_e_f_ev_per_atom": -0.19, "crystal_system": "cubic", "dos_at_fermi_per_ev_atom": 0.453}

{"formula": "BaAl3Zn3", "functional": "PBE", "state": "optimized geometry", "lattice": [[3.4931, 2.0167, 7.9132], [-3.4931, 2.0167, 7.9132], [0.0000, -4.0335, 7.9132]], "species": ["Ba", "Ba", "Al", "Al", "Al", "Al", "Al", "Al", "Zn", "Zn", "Zn", "Zn", "Zn", "Zn"], "fractional_positions": [[0.1785, 0.1785, 0.1785], [0.8215, 0.8215, 0.8215], [0.1407, 0.4384, 0.5768], [0.4232, 0.8593, 0.5616], [0.4384, 0.5768, 0.1407], [0.5616, 0.4232, 0.8593], [0.5768, 0.1407, 0.4384], [0.8593, 0.5616, 0.4232], [0.0085, 0.1434, 0.6994], [0.1434, 0.6994, 0.0085], [0.3006, 0.9915, 0.8566], [0.6994, 0.0085, 0.1434], [0.8566, 0.3006, 0.9915], [0.9915, 0.8566, 0.3006]], "delta_e_f_ev_per_atom": 0.02, "de_polymorph_ev_per_fu": 1.08, "crystal_system": "trigonal", "dos_at_fermi_per_ev_atom": 0.497}

{"formula": "BaAl4Zn9", "functional": "PBE", "state": "optimized geometry", "lattice": [[-4.4727, 4.4727, 6.2208], [4.4727, -4.4727, 6.2208], [4.4727, 4.4727, -6.2208]], "species": ["Ba", "Ba", "Al", "Al", "Al", "Al", "Al", "Al", "Al", "Al", "Zn", "Zn", "Zn", "Zn", "Zn", "Zn", "Zn", "Zn", "Zn", "Zn", "Zn", "Zn", "Zn", "Zn", "Zn", "Zn", "Zn", "Zn"], "fractional_positions": [[0.2500, 0.2500, 0.0000], [0.7500, 0.7500, 0.0000], [0.0590, 0.5590, 0.8556], [0.2035, 0.0590, 0.5000], [0.2965, 0.7965, 0.8556], [0.4410, 0.2965, 0.5000], [0.5590, 0.7035, 0.5000], [0.7035, 0.2035, 0.1444], [0.7965, 0.9410, 0.5000], [0.9410, 0.4410, 0.1444], [0.0000, 0.5000, 0.5000], [0.0547, 0.2009, 0.2556], [0.0563, 0.7969, 0.5000], [0.2009, 0.9453, 0.1461], [0.2031, 0.7031, 0.2593], [0.2969, 0.5563, 0.5000], [0.2991, 0.4453, 0.7444], [0.4437, 0.9437, 0.7407], [0.4453, 0.7009, 0.1461], [0.5000, 0.0000, 0.5000], [0.5547, 0.2991, 0.8539], [0.5563, 0.0563, 0.2593], [0.7009, 0.5547, 0.2556], [0.7031, 0.4437, 0.5000], [0.7969, 0.2969, 0.7407], [0.7991, 0.0547, 0.8539], [0.9437, 0.2031, 0.5000], [0.9453, 0.7991, 0.7444]], "delta_e_f_ev_per_atom": -0.12, "crystal_system": "tetragonal", "dos_at_fermi_per_ev_atom": 0.252}

{"formula": "BaAl2Zn2", "functional": "PBE", "state": "optimized geometry", "lattice": [[8.4399, 0.0000, 0.0000], [0.0000, 8.4399, 0.0000], [0.0000, 0.0000, 3.0541]], "species": ["Ba", "Ba", "Al", "Al", "Al", "Al", "Zn", "Zn", "Zn", "Zn"], "fractional_positions": [[0.0000, 0.0000, 0.0000], [0.5000, 0.5000, 0.0000], [0.1511, 0.3489, 0.5000], [0.3489, 0.8489, 0.5000], [0.6511, 0.1511, 0.5000], [0.8489, 0.6511, 0.5000], [0.1313, 0.6313, 0.0000], [0.3687, 0.1313, 0.0000], [0.6313, 0.8687, 0.0000], [0.8687, 0.3687, 0.0000]], "delta_e_f_ev_per_atom": 0.04, "crystal_system": "tetragonal", "dos_at_fermi_per_ev_atom": 0.458}

{"formula": "BaAlZn3", "functional": "PBE", "state": "optimized geometry", "lattice": [[5.0486, 0.0000, 0.0000], [0.0000, 5.0486, 0.0000], [0.0000, 0.0000, 5.0486]], "species": ["Ba", "Al", "Zn", "Zn", "Zn"], "fractional_positions": [[0.0000, 0.0000, 0.0000], [0.5000, 0.5000, 0.5000], [0.0000, 0.5000, 0.5000], [0.5000, 0.0000, 0.5000], [0.5000, 0.5000, 0.0000]], "delta_e_f_ev_per_atom": 0.02, "de_polymorph_ev_per_fu": 0.62, "crystal_system": "cubic", "dos_at_fermi_per_ev_atom": 0.880}

{"formula": "BaAlZn2", "functional": "PBE", "state": "optimized geometry", "lattice": [[3.8858, -2.2469, 0.0000], [3.8858, 2.2469, 0.0000], [-2.6095, 0.0000, 5.8811]], "species": ["Ba", "Al", "Zn", "Zn"], "fractional_positions": [[0.0000, 0.0000, 0.0000], [0.5000, 0.5000, 0.5000], [0.1970, 0.1970, 0.5914], [0.8030, 0.8030, 0.4086]], "delta_e_f_ev_per_atom": -0.18, "crystal_system": "monoclinic", "dos_at_fermi_per_ev_atom": 0.795}

{"formula": "Ba2Al2Zn", "functional": "PBE", "state": "optimized geometry", "lattice": [[-1.9770, 1.9770, 10.3700], [1.9770, -1.9770, 10.3700], [1.9770, 1.9770, -10.3700]], "species": ["Ba", "Ba", "Al", "Al", "Zn"], "fractional_positions": [[0.1013, 0.1013, 0.0000], [0.8987, 0.8987, 0.0000], [0.2500, 0.7500, 0.5000], [0.7500, 0.2500, 0.5000], [0.5000, 0.5000, 0.0000]], "delta_e_f_ev_per_atom": 0.04, "crystal_system": "tetragonal", "dos_at_fermi_per_ev_atom": 1.293}

{"formula": "BaAl2Zn", "functional": "PBE", "state": "optimized geometry", "lattice": [[4.1556, 0.0000, 0.0000], [0.0000, 4.1556, 0.0000], [0.0000, 0.0000, 12.1442]], "species": ["Ba", "Ba", "Al", "Al", "Al", "Al", "Zn", "Zn"], "fractional_positions": [[0.2500, 0.2500, 0.2394], [0.7500, 0.7500, 0.7606], [0.2500, 0.2500, 0.9553], [0.2500, 0.7500, 0.5000], [0.7500, 0.2500, 0.5000], [0.7500, 0.7500, 0.0447], [0.2500, 0.2500, 0.6298], [0.7500, 0.7500, 0.3702]], "delta_e_f_ev_per_atom": -0.06, "crystal_system": "tetragonal", "dos_at_fermi_per_ev_atom": 0.317}

{"formula": "Ba3Al8Zn3", "functional": "PBE", "state": "optimized geometry", "lattice": [[8.6079, -2.2687, 0.0000], [8.6079, 2.2687, 0.0000], [-7.5403, 0.0000, 8.6046]], "species": ["Ba", "Ba", "Ba", "Al", "Al", "Al", "Al", "Al", "Al", "Al", "Al", "Zn", "Zn", "Zn"], "fractional_positions": [[0.0000, 0.0000, 0.0000], [0.2906, 0.2906, 0.2910], [0.7094, 0.7094, 0.7090], [0.1140, 0.1140, 0.8221], [0.1237, 0.1237, 0.4112], [0.3271, 0.3271, 0.0074], [0.4969, 0.4969, 0.6802], [0.5031, 0.5031, 0.3198], [0.6729, 0.6729, 0.9926], [0.8763, 0.8763, 0.5888], [0.8860, 0.8860, 0.1779], [0.0000, 0.0000, 0.5000], [0.3311, 0.3311, 0.6560], [0.6689, 0.6689, 0.3440]], "delta_e_f_ev_per_atom": -0.14, "crystal_system": "monoclinic", "dos_at_fermi_per_ev_atom": 0.490}

{"formula": "Ba2Al2Zn7", "functional": "PBE", "state": "optimized geometry", "lattice": [[6.0420, -3.5539, 0.0000], [6.0420, 3.5539, 0.0000], [-3.4447, 0.0000, 5.5163]], "species": ["Ba", "Ba", "Al", "Al", "Zn", "Zn", "Zn", "Zn", "Zn", "Zn", "Zn"], "fractional_positions": [[0.2485, 0.7515, 0.0000], [0.7515, 0.2485, 0.0000], [0.2325, 0.2325, 0.5324], [0.7675, 0.7675, 0.4676], [0.0000, 0.0000, 0.5000], [0.1777, 0.5442, 0.3563], [0.2359, 0.2359, 0.9370], [0.4558, 0.8223, 0.6437], [0.5442, 0.1777, 0.3563], [0.7641, 0.7641, 0.0630], [0.8223, 0.4558, 0.6437]], "delta_e_f_ev_per_atom": -0.12, "crystal_system": "monoclinic", "dos_at_fermi_per_ev_atom": 0.543}

{"formula": "BaAl2Zn", "functional": "PBE", "state": "optimized geometry", "lattice": [[-2.2468, 3.1502, 3.9636], [2.2468, -3.1502, 3.9636], [2.2468, 3.1502, -3.9636]], "species": ["Ba", "Al", "Al", "Zn"], "fractional_positions": [[0.0000, 0.0000, 0.0000], [0.3273, 0.8273, 0.5000], [0.6727, 0.1727, 0.5000], [0.5000, 0.5000, 0.0000]], "delta_e_f_ev_per_atom": 0.10, "crystal_system": "orthorhombic", "dos_at_fermi_per_ev_atom": 0.726}

{"formula": "BaAl2Zn", "functional": "PBE", "state": "optimized geometry", "lattice": [[4.4572, 0.0000, 0.0000], [0.0000, 4.7038, 0.0000], [0.0000, 0.0000, 4.9157]], "species": ["Ba", "Al", "Al", "Zn"], "fractional_positions": [[0.0000, 0.0000, 0.0000], [0.0000, 0.5000, 0.5000], [0.5000, 0.0000, 0.5000], [0.5000, 0.5000, 0.0000]], "delta_e_f_ev_per_atom": 0.19, "crystal_system": "orthorhombic", "dos_at_fermi_per_ev_atom": 0.739}

{"formula": "BaAl2Zn", "functional": "PBE", "state": "optimized geometry", "lattice": [[3.5371, 0.0000, 0.0000], [0.0000, 3.5371, 0.0000], [0.0000, 0.0000, 7.7861]], "species": ["Ba", "Al", "Al", "Zn"], "fractional_positions": [[0.0000, 0.0000, 0.0000], [0.5000, 0.5000, 0.3254], [0.5000, 0.5000, 0.6746], [0.0000, 0.0000, 0.5000]], "delta_e_f_ev_per_atom": 0.00, "crystal_system": "tetragonal", "dos_at_fermi_per_ev_atom": 0.480}

{"formula": "Ba3Al2Zn4", "functional": "PBE", "state": "optimized geometry", "lattice": [[6.1243, -2.2210, 0.0000], [6.1243, 2.2210, 0.0000], [-1.7768, 0.0000, 9.4246]], "species": ["Ba", "Ba", "Ba", "Al", "Al", "Zn", "Zn", "Zn", "Zn"], "fractional_positions": [[0.0000, 0.0000, 0.0000], [0.3865, 0.3865, 0.6161], [0.6135, 0.6135, 0.3839], [0.3073, 0.3073, 0.2129], [0.6927, 0.6927, 0.7871], [0.1088, 0.1088, 0.6703], [0.2699, 0.2699, 0.9277], [0.7301, 0.7301, 0.0723], [0.8912, 0.8912, 0.3297]], "delta_e_f_ev_per_atom": -0.20, "crystal_system": "monoclinic", "dos_at_fermi_per_ev_atom": 0.760}

{"formula": "BaAl2Zn", "functional": "PBE", "state": "optimized geometry", "lattice": [[3.5311, 0.0000, 0.0000], [0.0000, 4.2937, 0.0000], [-1.7549, 0.0000, 6.7309]], "species": ["Ba", "Al", "Al", "Zn"], "fractional_positions": [[0.0000, 0.0000, 0.0000], [0.3096, 0.5000, 0.6227], [0.7457, 0.0000, 0.4963], [0.6451, 0.5000, 0.2899]], "delta_e_f_ev_per_atom": -0.03, "crystal_system": "monoclinic", "dos_at_fermi_per_ev_atom": 0.380}

{"formula": "BaAl2Zn", "functional": "PBE", "state": "optimized geometry", "lattice": [[1.6689, 0.9635, 10.0234], [-1.6689, 0.9635, 10.0234], [0.0000, -1.9271, 10.0234]], "species": ["Ba", "Al", "Al", "Zn"], "fractional_positions": [[0.0000, 0.0000, 0.0000], [0.2337, 0.2337, 0.2337], [0.7663, 0.7663, 0.7663], [0.5000, 0.5000, 0.5000]], "delta_e_f_ev_per_atom": 0.31, "crystal_system": "trigonal", "dos_at_fermi_per_ev_atom": 0.324}

{"formula": "Ba3Al2Zn2", "functional": "PBE", "state": "optimized geometry", "lattice": [[6.6385, 0.0000, 0.0000], [0.0000, 8.9938, 0.0000], [0.0000, 0.0000, 14.9385]], "species": ["Ba", "Ba", "Ba", "Ba", "Ba", "Ba", "Ba", "Ba", "Ba", "Ba", "Ba", "Ba", "Al", "Al", "Al", "Al", "Al", "Al", "Al", "Al", "Zn", "Zn", "Zn", "Zn", "Zn", "Zn", "Zn", "Zn"], "fractional_positions": [[0.1182, 0.1160, 0.1016], [0.1182, 0.1160, 0.3984], [0.1182, 0.3840, 0.6016], [0.1182, 0.3840, 0.8984], [0.3397, 0.7389, 0.7500], [0.3397, 0.7611, 0.2500], [0.6603, 0.2389, 0.7500], [0.6603, 0.2611, 0.2500], [0.8818, 0.6160, 0.1016], [0.8818, 0.6160, 0.3984], [0.8818, 0.8840, 0.6016], [0.8818, 0.8840, 0.8984], [0.1879, 0.0953, 0.7500], [0.1879, 0.4047, 0.2500], [0.3883, 0.7500, 0.0000], [0.3883, 0.7500, 0.5000], [0.6117, 0.2500, 0.0000], [0.6117, 0.2500, 0.5000], [0.8121, 0.5953, 0.7500], [0.8121, 0.9047, 0.2500], [0.3905, 0.0331, 0.5872], [0.3905, 0.0331, 0.9128], [0.3905, 0.4669, 0.0872], [0.3905, 0.4669, 0.4128], [0.6095, 0.5331, 0.5872], [0.6095, 0.5331, 0.9128], [0.6095, 0.9669, 0.0872], [0.6095, 0.9669, 0.4128]], "delta_e_f_ev_per_atom": -0.14, "crystal_system": "orthorhombic", "dos_at_fermi_per_ev_atom": 0.887}